Record 1
SiPSe2 after structural relaxation, computed with PBE.

a = 3.306 Å, b = 3.306 Å, c = 8.660 Å
α = 90.00°, β = 90.00°, γ = 90.00°
Fractional coordinates of all 4 atoms:
Si: 0.000 0.000 0.000
P: 0.500 0.500 0.326
Se: 0.000 0.000 0.438
Se: 0.500 0.500 0.866

Calculated values
E_tot: -4.13 eV per atom
Space group: P4mm
Total magnetization: 0.0 μB/cell

Record 2
TaGa2Pt2 after structural relaxation, computed with PBE.

a = 7.516 Å, b = 7.516 Å, c = 2.843 Å
α = 90.00°, β = 90.00°, γ = 90.00°
Fractional coordinates of all 10 atoms:
Ta: 0.000 0.000 0.000
Ta: 0.500 0.500 0.000
Ga: 0.164 0.336 0.500
Ga: 0.336 0.836 0.500
Ga: 0.664 0.164 0.500
Ga: 0.836 0.664 0.500
Pt: 0.135 0.635 0.000
Pt: 0.365 0.135 0.000
Pt: 0.635 0.865 0.000
Pt: 0.865 0.365 0.000

Calculated values
E_tot: -6.33 eV per atom
Space group: P4/mbm
Total magnetization: 0.0 μB/cell
E_form: -0.334 eV per atom

Record 3
Pm2Te3Pd after structural relaxation, computed with PBE.

a = 12.614 Å, b = 4.419 Å, c = 12.111 Å
α = 90.00°, β = 90.00°, γ = 90.00°
Fractional coordinates of all 24 atoms:
Pm: 0.036 0.250 0.189
Pm: 0.205 0.250 0.484
Pm: 0.295 0.750 0.984
Pm: 0.464 0.750 0.689
Pm: 0.536 0.250 0.311
Pm: 0.705 0.250 0.016
Pm: 0.795 0.750 0.516
Pm: 0.964 0.750 0.811
Te: 0.041 0.750 0.380
Te: 0.114 0.250 0.936
Te: 0.194 0.750 0.678
Te: 0.306 0.250 0.178
Te: 0.386 0.750 0.436
Te: 0.459 0.250 0.880
Te: 0.541 0.750 0.120
Te: 0.614 0.250 0.564
Te: 0.694 0.750 0.822
Te: 0.806 0.250 0.322
Te: 0.886 0.750 0.064
Te: 0.959 0.250 0.620
Pd: 0.214 0.750 0.251
Pd: 0.286 0.250 0.751
Pd: 0.714 0.750 0.249
Pd: 0.786 0.250 0.749

Calculated values
E_tot: -5.28 eV per atom
Space group: Pnma
Total magnetization: 0.0 μB/cell

Record 4
Zr2CrAu2 after structural relaxation, computed with PBE.

a = 7.024 Å, b = 7.024 Å, c = 3.964 Å
α = 90.00°, β = 90.00°, γ = 90.00°
Fractional coordinates of all 10 atoms:
Zr: 0.174 0.326 0.000
Zr: 0.326 0.826 0.000
Zr: 0.674 0.174 0.000
Zr: 0.826 0.674 0.000
Cr: 0.000 0.000 0.500
Cr: 0.500 0.500 0.500
Au: 0.136 0.636 0.500
Au: 0.364 0.136 0.500
Au: 0.636 0.864 0.500
Au: 0.864 0.364 0.500

Calculated values
E_tot: -6.62 eV per atom
Space group: P4/mbm
Total magnetization: 0.1 μB/cell
E_form: 0.037 eV per atom

Record 5
NaCaSe2 after structural relaxation, computed with PBE.

a = 6.448 Å, b = 6.448 Å, c = 6.448 Å
α = 105.70°, β = 105.70°, γ = 117.31°
Fractional coordinates of all 8 atoms:
Na: 0.000 0.000 0.000
Na: 0.750 0.250 0.500
Ca: 0.250 0.750 0.500
Ca: 0.500 0.500 0.000
Se: 0.123 0.625 0.998
Se: 0.375 0.373 0.498
Se: 0.627 0.125 0.002
Se: 0.875 0.877 0.502

Calculated values
E_tot: -3.73 eV per atom
Space group: I-42d
Total magnetization: 0.0 μB/cell

Record 6
MgZrOF2 after structural relaxation, computed with PBE.

a = 4.437 Å, b = 4.437 Å, c = 4.090 Å
α = 90.00°, β = 90.00°, γ = 90.00°
Fractional coordinates of all 5 atoms:
Mg: 0.000 0.000 0.000
Zr: 0.500 0.500 0.500
O: 0.500 0.500 0.000
F: 0.000 0.500 0.500
F: 0.500 0.000 0.500

Calculated values
E_tot: -6.10 eV per atom
Space group: P4/mmm
Total magnetization: 0.3 μB/cell

Record 7
K2SiHg after structural relaxation, computed with PBE.

a = 6.194 Å, b = 6.194 Å, c = 6.194 Å
α = 136.03°, β = 121.71°, γ = 75.80°
Fractional coordinates of all 4 atoms:
K: 0.000 0.000 0.000
K: 0.685 0.185 0.500
Si: 0.293 0.793 0.500
Hg: 0.389 0.389 0.000

Calculated values
E_tot: -1.99 eV per atom
Space group: Imm2
Total magnetization: 0.0 μB/cell

Record 8
PaInPdN after structural relaxation, computed with PBE.

a = 4.174 Å, b = 4.174 Å, c = 8.442 Å
α = 90.00°, β = 90.00°, γ = 90.00°
Fractional coordinates of all 8 atoms:
Pa: 0.250 0.250 0.121
Pa: 0.750 0.750 0.879
In: 0.250 0.750 0.500
In: 0.750 0.250 0.500
Pd: 0.250 0.250 0.713
Pd: 0.750 0.750 0.287
N: 0.250 0.750 0.000
N: 0.750 0.250 0.000

Calculated values
E_tot: -7.36 eV per atom
Space group: P4/nmm
Total magnetization: 0.0 μB/cell

Record 9
Ta5TiW2 after structural relaxation, computed with PBE.

a = 7.392 Å, b = 7.392 Å, c = 7.392 Å
α = 143.79°, β = 143.79°, γ = 52.14°
Fractional coordinates of all 8 atoms:
Ta: 0.000 0.000 0.000
Ta: 0.130 0.630 0.500
Ta: 0.370 0.870 0.500
Ta: 0.630 0.130 0.500
Ta: 0.870 0.370 0.500
Ti: 0.500 0.500 0.000
W: 0.251 0.251 0.000
W: 0.749 0.749 0.000

Calculated values
E_tot: -11.67 eV per atom
Space group: I4/mmm
Total magnetization: 0.0 μB/cell
E_form: -0.033 eV per atom

Q: Among the records above, which one has the lowest E_tot?
A: Ta5TiW2

Q: Which of these has the lowest E_tot?
A: Ta5TiW2